(1)
This record from Alexandria describes Rb8Na2Cd after structural relaxation. The functional is GGA-PBE.

a b c (Å): 23.657 7.020 9.401
angles (deg): 90.00 98.49 90.00
Space group C2/m (No. 12)
Symmetry-distinct sites (fractional):
Rb: 0.026 0.000 0.285 [4 per cell]
Rb: 0.087 0.500 0.892 [4 per cell]
Rb: 0.160 0.500 0.426 [4 per cell]
Rb: 0.215 0.000 0.136 [4 per cell]
Na: 0.160 0.000 0.681 [4 per cell]
Cd: 0.000 0.500 0.500 [2 per cell]

Values from the calculation:
The value obtained for the energy relative to the elements is 0.0188 eV per atom. For the total energy, the calculation gives -22.2 eV/cell.

***

(2)
This record from Alexandria describes CrWSe after structural relaxation. The functional is GGA-PBE.

a b c (Å): 5.752 5.752 5.752
angles (deg): 90.00 90.00 90.00
Space group F-43m (No. 216)
Symmetry-distinct sites (fractional):
Cr: 0.000 0.000 0.000 [4 per cell]
W: 0.250 0.250 0.250 [4 per cell]
Se: 0.250 0.250 0.750 [4 per cell]

Values from the calculation:
For the excess energy over the best structure of this formula in the dataset, the calculation gives 0.0307 eV/atom. The uncorrected formation energy comes out at 0.412 eV/atom. For the total energy, the calculation gives -99.3 eV/cell.

***

(3)
This record from Alexandria describes K2BaZnCl6 after structural relaxation. The functional is GGA-PBE.

a b c (Å): 7.5568 7.5568 18.9086
angles (deg): 90.00 90.00 120.00
Space group R3 (No. 146, hexagonal axes)
Symmetry-distinct sites (fractional):
K: 0.0000 0.0000 0.0000 [3 per cell]
K: 0.0000 0.0000 0.4993 [3 per cell]
Ba: 0.0000 0.0000 0.7218 [3 per cell]
Zn: 0.0000 0.0000 0.2192 [3 per cell]
Cl: 0.0289 0.4219 0.9561 [9 per cell]
Cl: 0.0934 0.7142 0.8039 [9 per cell]

Values from the calculation:
The uncorrected formation energy comes out at -1.816 eV/atom. For the total energy, the calculation gives -103.9 eV/cell.